(1)
This record from Alexandria via LeMat-Bulk describes a geometry-optimized Ho3FeNi8 structure. The functional is PBE.

Geometry as extended XYZ:
```
12
Lattice="2.4813 1.4326 8.1053 -2.4813 1.4326 8.1053 0.0000 -2.8651 8.1053" Properties=species:S:1:pos:R:3 pbc="T T T"
Ho 0.0000 0.0000 0.0000
Ho 0.0000 0.0000 3.1544
Ho 0.0000 0.0000 12.5884
Fe 0.0000 0.0000 15.6095
Ni -1.2477 -0.7204 9.7330
Ni 0.0000 -1.4232 5.7512
Ni -1.2326 0.7116 5.7512
Ni 0.0000 0.0000 7.7332
Ni 1.2477 -0.7204 9.7330
Ni 1.2326 0.7116 5.7512
Ni 0.0000 1.4407 9.7330
Ni 0.0000 0.0000 19.9054
```

Volume, Å³/atom: 14.406
E_form, meV per atom: -335
Spin magnetization, μB/atom: 0.361
Space group: R3m, No. 160


(2)
This record from Alexandria via LeMat-Bulk describes a geometry-optimized SrTlMo2 structure. The functional is PBE.

Geometry as extended XYZ:
```
4
Lattice="1.8589 -2.2665 0.0000 1.8589 2.2665 0.0000 0.0000 0.0000 10.0924" Properties=species:S:1:pos:R:3 pbc="T T T"
Sr 0.0000 0.0000 0.0000
Tl 0.0000 0.0000 5.0462
Mo 1.8589 0.0000 2.7539
Mo 1.8589 0.0000 7.3385
```

Volume, Å³/atom: 21.261
E_form, meV per atom: 1072
Spin magnetization, μB/atom: 0.000
ΔE to the lowest computed polymorph, eV/atom: 0.688
Space group: Cmmm, No. 65


(3)
This record from Alexandria via LeMat-Bulk describes a geometry-optimized CePm2SmP4 structure. The functional is PBE.

Geometry as extended XYZ:
```
8
Lattice="7.1180 0.0000 0.0000 0.0000 4.1130 0.0000 -2.3641 0.0000 6.7168" Properties=species:S:1:pos:R:3 pbc="T T T"
Ce 0.0000 0.0000 0.0000
Pm -1.1820 2.0565 3.3584
Pm 2.3770 0.0000 3.3584
Sm 3.5590 2.0565 0.0000
P 1.1737 2.0565 1.6484
P -0.0155 0.0000 5.0631
P 4.7694 0.0000 1.6537
P 3.5802 2.0565 5.0684
```

Volume, Å³/atom: 24.580
E_form, meV per atom: -1558
Spin magnetization, μB/atom: 0.052
Space group: P2/m, No. 10


(4)
This record from Alexandria via LeMat-Bulk describes a geometry-optimized Na2NiOs structure. The functional is PBE.

Geometry as extended XYZ:
```
4
Lattice="0.0000 3.2886 3.2886 3.2886 0.0000 3.2886 3.2886 3.2886 0.0000" Properties=species:S:1:pos:R:3 pbc="T T T"
Na 1.6443 1.6443 1.6443
Na 4.9329 4.9329 4.9329
Ni 0.0000 0.0000 0.0000
Os 3.2886 3.2886 3.2886
```

Volume, Å³/atom: 17.783
E_form, meV per atom: 1461
Spin magnetization, μB/atom: 0.642
ΔE to the lowest computed polymorph, eV/atom: 0.186
Space group: Fm-3m, No. 225


(5)
This record from Alexandria via LeMat-Bulk describes a geometry-optimized PmHPd6 structure. The functional is PBE.

Geometry as extended XYZ:
```
8
Lattice="2.7756 1.6025 4.9000 -2.7756 1.6025 4.9000 0.0000 -3.2050 4.9000" Properties=species:S:1:pos:R:3 pbc="T T T"
Pm 0.0000 0.0000 0.0000
H 0.0000 0.0000 7.3500
Pd -1.4220 -0.8210 6.2355
Pd 0.0000 -1.6420 8.4644
Pd -1.4220 0.8210 8.4644
Pd 1.4220 -0.8210 6.2355
Pd 0.0000 1.6420 6.2355
Pd 1.4220 0.8210 8.4644
```

Volume, Å³/atom: 16.346
E_tot, eV/atom: -5.19
Spin magnetization, μB/atom: 0.000
Space group: R-3m, No. 166


(6)
This record from Alexandria via LeMat-Bulk describes a geometry-optimized Ga2AgTe4Au structure. The functional is PBE.

Geometry as extended XYZ:
```
8
Lattice="-3.8282 3.8282 4.1121 3.8282 -3.8282 4.1121 3.8282 3.8282 -4.1121" Properties=species:S:1:pos:R:3 pbc="T T T"
Ga 3.8282 0.0000 2.0561
Ga 0.0000 3.8282 2.0561
Ag 0.0000 0.0000 0.0000
Te 1.3487 -1.3487 2.1211
Te -1.3487 1.3487 2.1211
Te 2.4795 2.4795 1.9910
Te 1.3487 1.3487 6.1032
Au 0.0000 0.0000 4.1121
```

Volume, Å³/atom: 30.132
Spin magnetization, μB/atom: 0.000
Raw formation energy, eV/atom: 0.04
Space group: I-42m, No. 121


(7)
This record from Alexandria via LeMat-Bulk describes a geometry-optimized Ge2MoHIr structure. The functional is PBE.

Geometry as extended XYZ:
```
5
Lattice="4.3678 0.0000 0.0000 0.0000 4.3678 0.0000 0.0000 0.0000 3.3794" Properties=species:S:1:pos:R:3 pbc="T T T"
Ge 0.0000 2.1839 0.0000
Ge 2.1839 0.0000 0.0000
Mo 0.0000 0.0000 1.6897
H 2.1839 2.1839 0.0000
Ir 2.1839 2.1839 1.6897
```

Volume, Å³/atom: 12.894
E_tot, eV/atom: -6.32
Spin magnetization, μB/atom: 0.000
Space group: P4/mmm, No. 123


(8)
This record from Alexandria via LeMat-Bulk describes a geometry-optimized Y3Si3Pd2 structure. The functional is PBE.

Geometry as extended XYZ:
```
16
Lattice="2.1296 -5.2462 0.0000 2.1296 5.2462 0.0000 0.0000 0.0000 14.1253" Properties=species:S:1:pos:R:3 pbc="T T T"
Y 2.1296 4.3470 8.6370
Y 2.1296 4.3470 12.5510
Y 2.1296 1.4225 10.5940
Y 2.1296 -1.4225 3.5313
Y 2.1296 -4.3470 1.5743
Y 2.1296 -4.3470 5.4883
Si 2.1296 1.6848 3.5313
Si 2.1296 1.1046 7.6130
Si 2.1296 1.1046 13.5750
Si 2.1296 -1.1046 0.5504
Si 2.1296 -1.1046 6.5123
Si 2.1296 -1.6848 10.5940
Pd 2.1296 3.0829 1.3248
Pd 2.1296 3.0829 5.7379
Pd 2.1296 -3.0829 8.3874
Pd 2.1296 -3.0829 12.8006
```

Volume, Å³/atom: 19.727
Spin magnetization, μB/atom: 0.000
Raw formation energy, eV/atom: -0.96
Space group: Cmcm, No. 63


(9)
This record from Alexandria via LeMat-Bulk describes a geometry-optimized Pr3HoEr6Th2 structure. The functional is PBE.

Geometry as extended XYZ:
```
12
Lattice="3.0995 -5.3652 0.0000 3.0995 5.3652 0.0000 -2.0691 0.0000 11.5771" Properties=species:S:1:pos:R:3 pbc="T T T"
Pr 0.0000 0.0000 0.0000
Pr 3.0995 1.7824 0.0000
Pr 3.0995 -1.7824 0.0000
Ho 2.0650 0.0000 5.7885
Er 1.0202 1.8100 2.9628
Er -0.0282 0.0000 8.6173
Er 1.0202 -1.8100 2.9628
Er 3.1097 1.8100 8.6143
Er 4.1582 0.0000 2.9598
Er 3.1097 -1.8100 8.6143
Th 2.0650 3.5778 5.7885
Th 2.0650 -3.5778 5.7885
```

Volume, Å³/atom: 32.087
E_form, meV per atom: 19
Spin magnetization, μB/atom: 0.000
Space group: C2/m, No. 12


(10)
This record from Alexandria via LeMat-Bulk describes a geometry-optimized Np2VS5 structure. The functional is PBE.

Geometry as extended XYZ:
```
32
Lattice="10.7523 0.0000 0.0000 0.0000 7.8594 0.0000 0.0000 0.0000 6.9685" Properties=species:S:1:pos:R:3 pbc="T T T"
Np 1.8192 0.0302 0.5762
Np 1.8192 3.8995 0.5762
Np 3.5569 3.9599 4.0604
Np 3.5569 7.8292 4.0604
Np 7.1953 0.0302 2.9081
Np 7.1953 3.8995 2.9081
Np 8.9330 3.9599 6.3924
Np 8.9330 7.8292 6.3924
V 0.0581 5.8945 4.0281
V 5.3180 1.9648 0.5439
V 5.4343 5.8945 6.4247
V 10.6941 1.9648 2.9404
S 0.0884 5.8945 6.5275
S 0.6924 0.2751 4.7656
S 0.6924 3.6546 4.7656
S 2.1006 5.8945 2.6162
S 2.2689 1.9648 2.5211
S 3.1072 5.8945 6.0054
S 3.2756 1.9648 6.1005
S 4.6837 4.2048 1.2813
S 4.6837 7.5843 1.2813
S 5.2877 1.9648 3.0433
S 5.4645 5.8945 3.9253
S 6.0686 0.2751 5.6872
S 6.0686 3.6546 5.6872
S 7.4767 5.8945 0.8681
S 7.6450 1.9648 0.9631
S 8.4834 5.8945 4.4474
S 8.6517 1.9648 4.3523
S 10.0598 4.2048 2.2029
S 10.0598 7.5843 2.2029
S 10.6638 1.9648 0.4410
```

Volume, Å³/atom: 18.403
Spin magnetization, μB/atom: 1.125
ΔE to the lowest computed polymorph, eV/atom: 0.000
Raw formation energy, eV/atom: -1.21
Space group: Pnma, No. 62


(11)
This record from Alexandria via LeMat-Bulk describes a geometry-optimized Al6Ga12Mo structure. The functional is PBE.

Geometry as extended XYZ:
```
19
Lattice="4.4951 2.5952 4.9408 -4.4951 2.5952 4.9408 0.0000 -5.1905 4.9408" Properties=species:S:1:pos:R:3 pbc="T T T"
Al -0.1576 -2.4348 4.7458
Al -2.0298 1.3538 4.7458
Al -2.1874 -1.0809 10.0767
Al 2.1874 1.0809 4.7458
Al 2.0298 -1.3538 10.0767
Al 0.1576 2.4348 10.0767
Ga -3.8028 -1.1697 7.5572
Ga -0.8884 -3.8781 7.2653
Ga -1.5609 -0.8303 6.2487
Ga -2.9144 2.7085 7.2653
Ga -0.0614 -1.7669 8.5738
Ga -1.4995 0.9366 8.5738
Ga 1.4995 -0.9366 6.2487
Ga 0.0614 1.7669 6.2487
Ga 2.9144 -2.7085 7.5572
Ga 1.5609 0.8303 8.5737
Ga 0.8884 3.8781 7.5572
Ga 3.8028 1.1697 7.2653
Mo 0.0000 0.0000 0.0000
```

Volume, Å³/atom: 18.202
E_form, meV per atom: 0
Spin magnetization, μB/atom: 0.000
ΔE to the lowest computed polymorph, eV/atom: 0.000
Space group: R-3, No. 148


(12)
This record from Alexandria via LeMat-Bulk describes a geometry-optimized ZnSb2Se structure. The functional is PBE.

Geometry as extended XYZ:
```
4
Lattice="3.4013 -2.0087 0.0000 3.4013 2.0087 0.0000 -2.3807 0.0000 7.1271" Properties=species:S:1:pos:R:3 pbc="T T T"
Zn 0.0000 0.0000 0.0000
Sb -0.0837 0.0000 5.5114
Sb 4.5055 0.0000 1.6156
Se 2.2109 0.0000 3.5635
```

Volume, Å³/atom: 24.347
Spin magnetization, μB/atom: 0.000
ΔE to the lowest computed polymorph, eV/atom: 0.257
Raw formation energy, eV/atom: 0.06
Space group: C2/m, No. 12